# 1
Below is a geometry-optimized Pr8Ge3SbTe4 structure, with properties calculated at the PBE-GGA level.

Cell and atoms, written as extended XYZ:
```
16
Lattice="-2.199 8.461 1.730 -6.325 -2.823 5.768 8.426 -2.713 1.027" Properties=species:S:1:pos:R:3 pbc="T T T"
Pr 3.112 -2.623 5.639
Pr -0.979 -1.305 5.140
Pr 2.047 0.008 2.561
Pr 2.045 1.486 6.479
Pr -2.142 1.439 2.046
Pr -2.145 2.916 5.964
Pr 0.882 4.230 3.385
Pr -3.210 5.548 2.886
Ge -4.262 2.819 3.749
Ge -0.049 1.462 4.262
Ge 1.051 -2.768 3.397
Sb -3.162 -1.412 2.884
Te -1.099 4.230 0.865
Te 3.113 2.874 1.379
Te 0.000 0.000 0.000
Te 4.213 -1.357 0.514
```

Computed properties:
Total DFT energy (no corrections) ... -5.561 eV/atom
Space group ... No. 166
Density of states at the Fermi level ... 3.91 states/eV/f.u.
Raw formation energy ... -1.262 eV per atom

---

# 2
Below is a geometry-optimized SnTeIr2Au structure, with properties calculated at the PBE-GGA level.

Cell and atoms, written as extended XYZ:
```
5
Lattice="4.910 0.000 0.000 0.000 4.910 0.000 0.000 0.000 5.505" Properties=species:S:1:pos:R:3 pbc="T T T"
Te 0.000 0.000 2.753
Ir 0.000 2.455 0.000
Ir 2.455 0.000 0.000
Au 2.455 2.455 2.753
Sn 0.000 0.000 0.000
```

Computed properties:
Total DFT energy (no corrections) ... -3.988 eV/atom
Space group ... No. 123
Density of states at the Fermi level ... 7.09 states/eV/f.u.
Raw formation energy ... 1.641 eV per atom

---

# 3
Below is a geometry-optimized EuSb2Pd2 structure, with properties calculated at the PBE-GGA level.

Cell and atoms, written as extended XYZ:
```
10
Lattice="-0.856 4.349 -1.468 -4.485 -1.109 -0.672 -2.239 2.956 10.060" Properties=species:S:1:pos:R:3 pbc="T T T"
Eu -0.967 2.886 1.688
Eu -3.942 1.690 7.301
Sb -1.119 1.478 5.030
Sb -3.790 3.098 3.960
Sb -2.381 4.753 8.042
Sb -2.528 -0.178 0.947
Pd 0.000 0.000 0.000
Pd -2.670 1.620 -1.070
Pd -1.835 4.033 5.590
Pd -3.074 0.543 3.400
```

Computed properties:
Total DFT energy (no corrections) ... -6.565 eV/atom
Space group ... No. 129
Density of states at the Fermi level ... 12.09 states/eV/f.u.
Raw formation energy ... -0.784 eV per atom

---

# 4
Below is a geometry-optimized CaAlPt structure, with properties calculated at the PBE-GGA level.

Cell and atoms, written as extended XYZ:
```
3
Lattice="-1.068 -4.456 0.239 -0.372 -2.479 -3.843 3.160 -3.173 -0.999" Properties=species:S:1:pos:R:3 pbc="T T T"
Ca 0.860 -5.054 -2.301
Al 0.000 0.000 0.000
Pt 1.290 -7.581 -3.452
```

Computed properties:
Total DFT energy (no corrections) ... -4.585 eV/atom
Energy relative to the elements ... -0.657 eV per atom
Space group ... No. 216
Density of states at the Fermi level ... 1.35 states/eV/f.u.

---

The total magnetic moment results, record by record, are as follows: 0.0 0.8 7.0 0.0 μB/f.u..